[1]
Compound: SrTaSe2
Source: Alexandria via LeMat-Bulk
Functional: GGA-PBE
Structure: optimized geometry

Cell lengths 7.121, 7.121, 7.121 Å; angles 147.34, 147.34, 46.86 degrees
Atoms (fractional coordinates):
1 Sr 0.000 0.000 0.000
2 Ta 0.250 0.750 0.500
3 Se 0.500 0.500 0.000
4 Se 0.750 0.250 0.500

Summary:
* space group: I-4m2
* energy above the most stable polymorph in this dataset: 659.8 meV per atom
* formation energy without anion corrections: -181 meV/atom
* electronic total energy: -5.3072 eV per atom



[2]
Compound: Sr2TaSe
Source: Alexandria via LeMat-Bulk
Functional: GGA-PBE
Structure: optimized geometry

Cell lengths 8.290, 8.290, 8.290 Å; angles 95.05, 95.05, 145.49 degrees
Atoms (fractional coordinates):
1 Sr 0.375 0.026 0.151
2 Sr 0.776 0.625 0.651
3 Sr 0.875 0.224 0.849
4 Sr 0.974 0.125 0.349
5 Ta 0.250 0.750 0.500
6 Ta 0.500 0.500 0.000
7 Se 0.000 0.000 0.000
8 Se 0.750 0.250 0.500

Summary:
* space group: I-42d
* energy above the most stable polymorph in this dataset: 246.8 meV per atom
* formation energy without anion corrections: 188 meV/atom
* electronic total energy: -4.4870 eV per atom



[3]
Compound: SrTaSe2
Source: Alexandria via LeMat-Bulk
Functional: GGA-PBE
Structure: optimized geometry

Cell lengths 9.626, 9.626, 9.626 Å; angles 22.09, 22.09, 22.09 degrees
Atoms (fractional coordinates):
1 Sr 0.000 0.000 0.000
2 Ta 0.500 0.500 0.500
3 Se 0.111 0.111 0.111
4 Se 0.889 0.889 0.889

Summary:
* space group: R-3m
* energy above the most stable polymorph in this dataset: 261.5 meV per atom
* formation energy without anion corrections: -580 meV/atom
* electronic total energy: -5.7054 eV per atom



Q: Among the records above, which one has the highest energy above the most stable polymorph in this dataset?
A: number 1



Q: Among the records above, which one has the lowest formation energy without anion corrections?
A: number 3